6
Lattice="5.006 0.000 0.000 -2.503 4.335 0.000 0.000 0.000 4.178" Properties=species:S:1:pos:R:3 comment="PBE DyNi3Ir2, relaxed" final_energy_ev_per_atom=-6.775 formation_energy_ev_per_atom=-0.273 magnetic_moment_mub_per_cell=0.3 pbc="T T T"
Ir 0.000 2.890 0.000
Ir 2.503 1.445 0.000
Ni -1.252 2.168 2.089
Ni 1.252 2.168 2.089
Ni 2.503 0.000 2.089
Dy 0.000 0.000 0.000